1.
{"formula": "YCrCl2", "functional": "PBE", "state": "optimized geometry", "lattice_angstrom": [[-2.313, 2.313, 8.634], [2.313, -2.313, 8.634], [2.313, 2.313, -8.634]], "species": ["Y", "Y", "Cr", "Cr", "Cl", "Cl", "Cl", "Cl"], "fractional_positions": [[0.000, 0.000, 0.000], [0.750, 0.250, 0.500], [0.250, 0.750, 0.500], [0.500, 0.500, 0.000], [0.137, 0.625, 0.012], [0.375, 0.387, 0.512], [0.613, 0.125, 0.988], [0.875, 0.863, 0.488]], "magmom_total_mub_per_fu": 3.79, "crystal_system": "tetragonal", "spacegroup": "I-42d (122)", "volume_a3_per_fu": 92.4, "e_above_lowest_polymorph_kj_per_mol_fu": 91, "raw_formation_energy_ev_per_atom": -0.582}

=====

2.
{"formula": "BaGaCo2Pb", "functional": "PBE", "state": "optimized geometry", "lattice_angstrom": [[4.843, 0.000, 0.000], [0.000, 4.843, 0.000], [0.000, 0.000, 5.425]], "species": ["Ba", "Ga", "Co", "Co", "Pb"], "fractional_positions": [[0.000, 0.000, 0.000], [0.500, 0.500, 0.500], [0.000, 0.500, 0.500], [0.500, 0.000, 0.500], [0.500, 0.500, 0.000]], "magmom_total_mub_per_fu": 3.13, "crystal_system": "tetragonal", "spacegroup": "P4/mmm (123)", "volume_a3_per_fu": 127.2, "formation_energy_mev_per_atom": 534}